[1]
DFT (GGA-PBE) results for DyBe2Pd after structural relaxation.

DOS at the Fermi energy	0.679	states/eV/atom
VASP energy	-4.70	eV per atom
energy of formation from the pure elements	-388	meV/atom

extended XYZ file:
```
4
Lattice="3.931 0.000 0.000 1.966 3.404 0.000 1.966 1.135 4.807" Properties=species:S:1:pos:R:3 pbc="T T T"
Be 5.897 3.404 2.826
Be 1.966 1.135 1.981
Pd 3.931 2.270 2.403
Dy 0.000 0.000 0.000
```



[2]
DFT (GGA-PBE) results for KNaCa2Pd after structural relaxation.

DOS at the Fermi energy	0.498	states/eV/atom
VASP energy	-2.49	eV per atom
energy of formation from the pure elements	-165	meV/atom

extended XYZ file:
```
5
Lattice="-0.700 4.722 2.998 0.002 -3.021 4.759 6.034 0.639 0.402" Properties=species:S:1:pos:R:3 pbc="T T T"
Na 3.017 0.319 0.201
Ca 0.001 -1.511 2.380
Ca -0.350 2.361 1.499
K 2.668 1.170 4.080
Pd 0.000 0.000 0.000
```



[3]
DFT (GGA-PBE) results for GdHoBr after structural relaxation.

DOS at the Fermi energy	0.983	states/eV/atom
VASP energy	-7.52	eV per atom
formation energy (no corrections)	-743	meV/atom

extended XYZ file:
```
3
Lattice="3.728 0.000 0.000 -1.864 3.228 0.000 0.000 0.000 7.283" Properties=species:S:1:pos:R:3 pbc="T T T"
Gd 0.000 0.000 7.185
Ho 1.864 1.076 2.551
Br 0.000 2.152 4.831
```



[4]
DFT (GGA-PBE) results for TbHgPb2O4 after structural relaxation.

DOS at the Fermi energy	0.260	states/eV/atom
VASP energy	-5.64	eV per atom
formation energy (no corrections)	-1622	meV/atom

extended XYZ file:
```
8
Lattice="4.022 0.000 0.000 0.000 4.022 0.000 0.000 0.000 9.809" Properties=species:S:1:pos:R:3 pbc="T T T"
Tb 0.000 0.000 0.000
Hg 0.000 0.000 4.904
Pb 2.011 2.011 2.415
Pb 2.011 2.011 7.394
O 0.000 2.011 1.325
O 2.011 0.000 8.483
O 2.011 0.000 1.325
O 0.000 2.011 8.483
```



> Number 1 is which compound?

DyBe2Pd



> Among the records above, which one has the highest DOS at the Fermi energy?

GdHoBr



> Which value of VASP energy does entry 1 give?

-4.70 eV per atom